VASP calculation (PBE-GGA) on a relaxed structure of PrBAsO.

Total energy (eV for the cell shown): -49.43
SG: No. 26
Crystal system: orthorhombic

a b c (Å): 4.8356 4.2175 6.4568
angles (deg): 90.00 90.00 90.00
Atoms (fractional coordinates):
1 Pr 0.0000 0.2404 0.0000
2 Pr 0.0000 0.7596 0.5000
3 B 0.5000 0.3076 0.3361
4 B 0.5000 0.6924 0.8361
5 As 0.5000 0.2670 0.6680
6 As 0.5000 0.7330 0.1680
7 O 0.0000 0.2601 0.3482
8 O 0.0000 0.7399 0.8482

---

VASP calculation (PBE-GGA) on a relaxed structure of PrBAsO.

Total energy (eV for the cell shown): -42.91
SG: No. 129
Crystal system: tetragonal

a b c (Å): 4.8817 4.8817 5.4168
angles (deg): 90.00 90.00 90.00
Atoms (fractional coordinates):
1 Pr 0.2500 0.7500 0.0000
2 Pr 0.7500 0.2500 0.0000
3 B 0.2500 0.2500 0.1718
4 B 0.7500 0.7500 0.8282
5 As 0.2500 0.2500 0.5251
6 As 0.7500 0.7500 0.4749
7 O 0.2500 0.7500 0.5000
8 O 0.7500 0.2500 0.5000

---

VASP calculation (PBE-GGA) on a relaxed structure of ReBAsO.

Total energy (eV for the cell shown): -54.23
SG: No. 129
Crystal system: tetragonal

a b c (Å): 3.5011 3.5011 9.5746
angles (deg): 90.00 90.00 90.00
Atoms (fractional coordinates):
1 Re 0.2500 0.7500 0.0000
2 Re 0.7500 0.2500 0.0000
3 B 0.2500 0.2500 0.4564
4 B 0.7500 0.7500 0.5436
5 As 0.2500 0.2500 0.8010
6 As 0.7500 0.7500 0.1990
7 O 0.2500 0.7500 0.5000
8 O 0.7500 0.2500 0.5000

---

VASP calculation (PBE-GGA) on a relaxed structure of ReBAsO.

Total energy (eV for the cell shown): -53.14
SG: No. 129
Crystal system: tetragonal

a b c (Å): 3.1150 3.1150 10.0272
angles (deg): 90.00 90.00 90.00
Atoms (fractional coordinates):
1 Re 0.2500 0.2500 0.1370
2 Re 0.7500 0.7500 0.8630
3 B 0.2500 0.7500 0.5000
4 B 0.7500 0.2500 0.5000
5 As 0.2500 0.2500 0.7104
6 As 0.7500 0.7500 0.2896
7 O 0.2500 0.7500 0.0000
8 O 0.7500 0.2500 0.0000

---

VASP calculation (PBE-GGA) on a relaxed structure of ReBAsO.

Total energy (eV for the cell shown): -60.18
SG: No. 26
Crystal system: orthorhombic

a b c (Å): 2.9131 8.4952 4.4226
angles (deg): 90.00 90.00 90.00
Atoms (fractional coordinates):
1 Re 0.0000 0.0604 0.0000
2 Re 0.0000 0.9396 0.5000
3 B 0.5000 0.4224 0.5901
4 B 0.5000 0.5776 0.0901
5 As 0.0000 0.2410 0.4578
6 As 0.0000 0.7590 0.9578
7 O 0.5000 0.4496 0.8975
8 O 0.5000 0.5504 0.3975

---

VASP calculation (PBE-GGA) on a relaxed structure of ReBAsO.

Total energy (eV for the cell shown): -57.78
SG: No. 26
Crystal system: orthorhombic

a b c (Å): 2.7873 6.4621 5.3281
angles (deg): 90.00 90.00 90.00
Atoms (fractional coordinates):
1 Re 0.0000 0.0637 0.0000
2 Re 0.0000 0.9363 0.5000
3 B 0.5000 0.3509 0.4392
4 B 0.5000 0.6491 0.9392
5 As 0.5000 0.3396 0.8211
6 As 0.5000 0.6604 0.3211
7 O 0.0000 0.2499 0.3538
8 O 0.0000 0.7501 0.8538

---

VASP calculation (PBE-GGA) on a relaxed structure of SmBAsO.

Total energy (eV for the cell shown): -52.35
SG: No. 129
Crystal system: tetragonal

a b c (Å): 4.0505 4.0505 7.4025
angles (deg): 90.00 90.00 90.00
Atoms (fractional coordinates):
1 Sm 0.2500 0.2500 0.1528
2 Sm 0.7500 0.7500 0.8472
3 B 0.2500 0.7500 0.5000
4 B 0.7500 0.2500 0.5000
5 As 0.2500 0.2500 0.6192
6 As 0.7500 0.7500 0.3808
7 O 0.2500 0.7500 0.0000
8 O 0.7500 0.2500 0.0000

---

VASP calculation (PBE-GGA) on a relaxed structure of SmBAsO.

Total energy (eV for the cell shown): -49.98
SG: No. 26
Crystal system: orthorhombic

a b c (Å): 5.1500 4.1725 5.9211
angles (deg): 90.00 90.00 90.00
Atoms (fractional coordinates):
1 Sm 0.0000 0.2486 0.0000
2 Sm 0.0000 0.7514 0.5000
3 B 0.5000 0.2491 0.3083
4 B 0.5000 0.7509 0.8083
5 As 0.5000 0.2495 0.6729
6 As 0.5000 0.7505 0.1729
7 O 0.0000 0.2524 0.3622
8 O 0.0000 0.7476 0.8622

---

VASP calculation (PBE-GGA) on a relaxed structure of SmBAsO.

Total energy (eV for the cell shown): -51.83
SG: No. 26
Crystal system: orthorhombic

a b c (Å): 4.0794 6.1585 6.0169
angles (deg): 90.00 90.00 90.00
Atoms (fractional coordinates):
1 Sm 0.0000 0.2489 0.0000
2 Sm 0.0000 0.7511 0.5000
3 B 0.5000 0.3707 0.4908
4 B 0.5000 0.6293 0.9908
5 As 0.0000 0.2307 0.4988
6 As 0.0000 0.7693 0.9988
7 O 0.5000 0.4091 0.9908
8 O 0.5000 0.5909 0.4908

---

VASP calculation (PBE-GGA) on a relaxed structure of SmBAsO.

Total energy (eV for the cell shown): -45.13
SG: No. 129
Crystal system: tetragonal

a b c (Å): 5.2337 5.2337 4.5200
angles (deg): 90.00 90.00 90.00
Atoms (fractional coordinates):
1 Sm 0.2500 0.7500 0.0000
2 Sm 0.7500 0.2500 0.0000
3 B 0.2500 0.2500 0.0026
4 B 0.7500 0.7500 0.9974
5 As 0.2500 0.2500 0.4273
6 As 0.7500 0.7500 0.5727
7 O 0.2500 0.7500 0.5000
8 O 0.7500 0.2500 0.5000

---

VASP calculation (PBE-GGA) on a relaxed structure of TaBAsO.

Total energy (eV for the cell shown): -60.07
SG: No. 26
Crystal system: orthorhombic

a b c (Å): 2.6897 6.8332 5.5043
angles (deg): 90.00 90.00 90.00
Atoms (fractional coordinates):
1 Ta 0.0000 0.0545 0.0000
2 Ta 0.0000 0.9455 0.5000
3 B 0.5000 0.3530 0.4249
4 B 0.5000 0.6470 0.9249
5 As 0.5000 0.3550 0.8012
6 As 0.5000 0.6450 0.3012
7 O 0.0000 0.2529 0.3439
8 O 0.0000 0.7471 0.8439

---

VASP calculation (PBE-GGA) on a relaxed structure of TaBAsO.

Total energy (eV for the cell shown): -60.36
SG: No. 26
Crystal system: orthorhombic

a b c (Å): 3.1806 6.8321 4.8487
angles (deg): 90.00 90.00 90.00
Atoms (fractional coordinates):
1 Ta 0.0000 0.1304 0.0000
2 Ta 0.0000 0.8696 0.5000
3 B 0.5000 0.4130 0.6233
4 B 0.5000 0.5870 0.1233
5 As 0.0000 0.2464 0.4967
6 As 0.0000 0.7536 0.9967
7 O 0.5000 0.4019 0.9530
8 O 0.5000 0.5981 0.4530

---

> total energy of number 10 (SmBAsO)?

-45.13 eV for the cell shown